A geometry-optimized LaCrO3 structure, computed with PBE+U.

Unit cell a=3.6170 b=3.6170 c=12.3444 alpha=90.00 beta=90.00 gamma=120.00
Space group P6_3/mmc (No. 194)
Unique sites:
La1 0.0000 0.0000 0.0000 [2 per cell]
Cr1 0.3333 0.6667 0.2500 [2 per cell]
O1 0.0000 0.0000 0.2500 [2 per cell]
O2 0.3333 0.6667 0.0918 [4 per cell]

- Fermi-level density of states: 6.273 states/eV/f.u.
- Total magnetic moment: 0.00 μB per atom
- Calculated total energy: -0.2684 Ha/atom